First-principles (PBE) data for crystalline Li2CaAg8 at its relaxed geometry, as listed in Alexandria via LeMat-Bulk.

As for the magnetic moment: 0.00 μB/atom. For the calculated formation energy, the calculation gives -0.116 eV/atom. As for the crystal system: monoclinic.

The space group is Cm (No. 8) and the conventional cell measures 7.938, 14.203 and 4.646 Å, with angles of 90.00, 125.77 and 90.00 degrees. The asymmetric unit holds Li at (0.000, 0.153, 0.000), Ca at (0.056, 0.500, 0.056), Ag at (0.017, 0.000, 0.518), Ag at (0.036, 0.347, 0.536), Ag at (0.255, 0.000, 0.255), Ag at (0.259, 0.172, 0.759) and Ag at (0.283, 0.314, 0.284).